Arrangement 1

## Na2CoCl4 (PBE)

Data for an optimized crystal structure of Na2CoCl4.

Lattice parameters (Å, degrees): 13.6678 8.0699 6.3767 90.00 90.00 90.00
Space group Pnma (No. 62)
Symmetry-distinct sites (fractional):
Na (0.0000, 0.0000, 0.0000) x4
Na (0.2299, 0.2500, 0.4807) x4
Co (0.0908, 0.7500, 0.4015) x4
Cl (0.0630, 0.2500, 0.7340) x4
Cl (0.0899, 0.7500, 0.7538) x4
Cl (0.1666, 0.5287, 0.2539) x8

The density is 2.33 g cm⁻³. For the calculated volume, the calculation gives 175.8 Å³/f.u. The calculation puts the total magnetization at 3.01 μB per formula unit.



Arrangement 2

## Na2CoCl4 (PBE)

Data for an optimized crystal structure of Na2CoCl4.

Lattice parameters (Å, degrees): 9.5379 9.5379 7.3955 90.00 90.00 90.00
Space group P4/ncc (No. 130, origin choice 2)
Symmetry-distinct sites (fractional):
Na (0.0560, 0.5560, 0.2500) x8
Co (0.2500, 0.2500, 0.0652) x4
Cl (0.0223, 0.1990, 0.5682) x16

The density is 2.44 g cm⁻³. For the calculated volume, the calculation gives 168.2 Å³/f.u. The calculation puts the total magnetization at 1.00 μB per formula unit.



Verdict on stability: arrangement 2 comes out at the bottom.



Arrangement 1

## Cs3Cu2Cl5 (PBE)

Data for an optimized crystal structure of Cs3Cu2Cl5.

Lattice parameters (Å, degrees): 9.2794 10.5422 13.2122 90.00 90.00 90.00
Space group Pnma (No. 62)
Symmetry-distinct sites (fractional):
Cs (0.0407, 0.0125, 0.1783) x8
Cs (0.1091, 0.7500, 0.4511) x4
Cu (0.2142, 0.7500, 0.0482) x4
Cu (0.2346, 0.2500, 0.3607) x4
Cl (0.0255, 0.2500, 0.9895) x4
Cl (0.1763, 0.7500, 0.7044) x4
Cl (0.1832, 0.0659, 0.4406) x8
Cl (0.1957, 0.2500, 0.7062) x4

The density is 3.61 g cm⁻³. For the calculated volume, the calculation gives 323.1 Å³/f.u.



Arrangement 2

## Cs3Cu2Cl5 (PBE)

Data for an optimized crystal structure of Cs3Cu2Cl5.

Lattice parameters (Å, degrees): 4.3506 17.4871 15.5692 90.00 90.00 90.00
Space group Pbcm (No. 57)
Symmetry-distinct sites (fractional):
Cs (0.0173, 0.1261, 0.0279) x8
Cs (0.0187, 0.1275, 0.7500) x4
Cu (0.4463, 0.0458, 0.2500) x4
Cu (0.4917, 0.6972, 0.2500) x4
Cl (0.0210, 0.1309, 0.2500) x4
Cl (0.4757, 0.7377, 0.6210) x8
Cl (0.4932, 0.0101, 0.6204) x8

The density is 3.94 g cm⁻³. For the calculated volume, the calculation gives 296.1 Å³/f.u.



Verdict on stability: arrangement 2 comes out at the bottom.



Arrangement 1

## Cs3Fe2Cl9 (PBE)

Data for an optimized crystal structure of Cs3Fe2Cl9.

Lattice parameters (Å, degrees): 7.2237 7.2237 8.9310 90.00 90.00 120.00
Space group P-3m1 (No. 164)
Symmetry-distinct sites (fractional):
Cs (0.0000, 0.0000, 0.0000) x1
Cs (0.3333, 0.6667, 0.3315) x2
Fe (0.3333, 0.6667, 0.8154) x2
Cl (0.0000, 0.5000, 0.0000) x3
Cl (0.1769, 0.3538, 0.6860) x6

The density is 3.41 g cm⁻³. For the calculated volume, the calculation gives 403.6 Å³/f.u. The calculation puts the total magnetization at 10.01 μB per formula unit.



Arrangement 2

## Cs3Fe2Cl9 (PBE)

Data for an optimized crystal structure of Cs3Fe2Cl9.

Lattice parameters (Å, degrees): 7.3038 7.3038 17.8302 90.00 90.00 120.00
Space group P6_3/mmc (No. 194)
Symmetry-distinct sites (fractional):
Cs (0.0000, 0.0000, 0.2500) x2
Cs (0.3333, 0.6667, 0.0834) x4
Fe (0.3333, 0.6667, 0.6534) x4
Cl (0.0343, 0.5171, 0.7500) x6
Cl (0.1765, 0.3530, 0.5900) x12

The density is 3.34 g cm⁻³. For the calculated volume, the calculation gives 411.9 Å³/f.u. The calculation puts the total magnetization at 9.99 μB per formula unit.



Verdict on stability: arrangement 1 comes out at the bottom.



Arrangement 1

## CsNbCl3 (PBE)

Data for an optimized crystal structure of CsNbCl3.

Lattice parameters (Å, degrees): 7.4278 7.4278 17.6903 90.00 90.00 120.00
Space group R-3c (No. 167, hexagonal axes)
Symmetry-distinct sites (fractional):
Cs (0.0000, 0.0000, 0.2500) x6
Nb (0.0000, 0.0000, 0.0000) x6
Cl (0.0000, 0.4580, 0.2500) x18

The density is 3.92 g cm⁻³. For the calculated volume, the calculation gives 140.9 Å³/f.u. The calculation puts the total magnetization at 3.00 μB per formula unit.



Arrangement 2

## CsNbCl3 (PBE)

Data for an optimized crystal structure of CsNbCl3.

Lattice parameters (Å, degrees): 8.5423 8.5423 18.4940 90.00 90.00 120.00
Space group R-3c (No. 167, hexagonal axes)
Symmetry-distinct sites (fractional):
Cs (0.0000, 0.0000, 0.0000) x6
Nb (0.0000, 0.0000, 0.2500) x6
Cl (0.0000, 0.2796, 0.2500) x18

The density is 2.83 g cm⁻³. For the calculated volume, the calculation gives 194.8 Å³/f.u. The calculation puts the total magnetization at 3.00 μB per formula unit.



Arrangement 3

## CsNbCl3 (PBE)

Data for an optimized crystal structure of CsNbCl3.

Lattice parameters (Å, degrees): 5.2151 5.2151 5.2151 90.00 90.00 90.00
Space group Pm-3m (No. 221)
Symmetry-distinct sites (fractional):
Cs (0.0000, 0.0000, 0.0000) x1
Nb (0.5000, 0.5000, 0.5000) x1
Cl (0.0000, 0.5000, 0.5000) x3

The density is 3.89 g cm⁻³. For the calculated volume, the calculation gives 141.8 Å³/f.u. The calculation puts the total magnetization at 3.00 μB per formula unit.



Verdict on stability: arrangement 2 comes out at the bottom.



Arrangement 1

## CsOsCl6 (PBE)

Data for an optimized crystal structure of CsOsCl6.

Lattice parameters (Å, degrees): 12.2152 6.4701 12.3745 90.00 102.68 90.00
Space group Cc (No. 9)
Symmetry-distinct sites (fractional):
Cs (0.0000, 0.1215, 0.0000) x4
Os (0.2495, 0.2506, 0.7502) x4
Cl (0.0811, 0.3753, 0.6455) x4
Cl (0.1578, 0.0425, 0.2918) x4
Cl (0.2142, 0.4166, 0.9053) x4
Cl (0.2852, 0.0848, 0.5952) x4
Cl (0.3413, 0.4562, 0.2089) x4
Cl (0.4178, 0.1261, 0.8554) x4

The density is 3.73 g cm⁻³. For the calculated volume, the calculation gives 238.5 Å³/f.u. The calculation puts the total magnetization at 3.01 μB per formula unit.



Arrangement 2

## CsOsCl6 (PBE)

Data for an optimized crystal structure of CsOsCl6.

Lattice parameters (Å, degrees): 6.9101 6.9101 18.6621 90.00 90.00 120.00
Space group R-3m (No. 166, hexagonal axes)
Symmetry-distinct sites (fractional):
Cs (0.0000, 0.0000, 0.0000) x3
Os (0.0000, 0.0000, 0.5000) x3
Cl (0.0170, 0.5085, 0.0950) x18

The density is 3.46 g cm⁻³. For the calculated volume, the calculation gives 257.2 Å³/f.u. The calculation puts the total magnetization at 3.00 μB per formula unit.



Verdict on stability: arrangement 2 comes out at the bottom.



Arrangement 1

## CsReCl6 (PBE)

Data for an optimized crystal structure of CsReCl6.

Lattice parameters (Å, degrees): 12.1783 6.4278 12.4451 90.00 102.37 90.00
Space group C2/c (No. 15)
Symmetry-distinct sites (fractional):
Cs (0.0000, 0.1167, 0.2500) x4
Re (0.2500, 0.2500, 0.0000) x4
Cl (0.0813, 0.3800, 0.8974) x8
Cl (0.1566, 0.0463, 0.5397) x8
Cl (0.2148, 0.4138, 0.1563) x8

The density is 3.71 g cm⁻³. For the calculated volume, the calculation gives 237.9 Å³/f.u. The calculation puts the total magnetization at 2.01 μB per formula unit.



Arrangement 2

## CsReCl6 (PBE)

Data for an optimized crystal structure of CsReCl6.

Lattice parameters (Å, degrees): 6.8250 6.8250 18.6300 90.00 90.00 120.00
Space group R-3m (No. 166, hexagonal axes)
Symmetry-distinct sites (fractional):
Cs (0.0000, 0.0000, 0.0000) x3
Re (0.0000, 0.0000, 0.5000) x3
Cl (0.0120, 0.5060, 0.0948) x18

The density is 3.53 g cm⁻³. For the calculated volume, the calculation gives 250.5 Å³/f.u. The calculation puts the total magnetization at 2.00 μB per formula unit.



Verdict on stability: arrangement 2 comes out at the bottom.



Arrangement 1

## Cu2Cl (PBE)

Data for an optimized crystal structure of Cu2Cl.

Lattice parameters (Å, degrees): 10.4054 10.4054 10.4054 90.00 90.00 90.00
Space group Fd-3m (No. 227, origin choice 2)
Symmetry-distinct sites (fractional):
Cu (0.0000, 0.0000, 0.0000) x16
Cl (0.1250, 0.1250, 0.1250) x8

The density is 1.92 g cm⁻³. For the calculated volume, the calculation gives 140.8 Å³/f.u.



Arrangement 2

## Cu2Cl (PBE)

Data for an optimized crystal structure of Cu2Cl.

Lattice parameters (Å, degrees): 7.1564 7.1564 7.1564 90.00 90.00 90.00
Space group Fd-3m (No. 227, origin choice 2)
Symmetry-distinct sites (fractional):
Cu (0.0000, 0.0000, 0.0000) x16
Cl (0.1250, 0.1250, 0.6250) x8

The density is 5.89 g cm⁻³. For the calculated volume, the calculation gives 45.8 Å³/f.u.



Arrangement 3

## Cu2Cl (PBE)

Data for an optimized crystal structure of Cu2Cl.

Lattice parameters (Å, degrees): 5.8829 5.8829 5.8829 90.00 90.00 90.00
Space group Fm-3m (No. 225)
Symmetry-distinct sites (fractional):
Cu (0.2500, 0.2500, 0.2500) x8
Cl (0.0000, 0.0000, 0.0000) x4

The density is 5.30 g cm⁻³. For the calculated volume, the calculation gives 50.9 Å³/f.u.



Verdict on stability: arrangement 1 comes out at the bottom.